Entry from the Alexandria database: a geometry-optimized La6Co2HI3 structure (PBE).

Values from the calculation:
Space-group type   C2/m, No. 12
E_tot   -5.005 eV per atom
N(E_F)   7.27 states/eV/cell
Magnetization   0.000 μB per cell
Crystal system   monoclinic

Cell lengths 7.059, 7.059, 8.546 Å; angles 98.77, 98.77, 117.57 degrees
Element x y z (fractional)
La: 0.951 0.606 0.820
La: 0.708 0.708 0.185
La: 0.049 0.394 0.180
La: 0.606 0.951 0.820
La: 0.292 0.292 0.815
La: 0.394 0.049 0.180
Co: 0.335 0.665 0.000
Co: 0.665 0.335 0.000
H: 0.000 0.000 0.000
I: 0.168 0.832 0.500
I: 0.832 0.168 0.500
I: 0.500 0.500 0.500